# 1
Below is a geometry-optimized SrZn2Re structure, with properties calculated at the PBE level.

```
data_SrZn2Re
_chemical_formula_sum 'Sr1 Zn2 Re1'
_symmetry_space_group_name_H-M 'P 1'
_symmetry_Int_Tables_number 1
_cell_length_a 10.0954
_cell_length_b 10.0954
_cell_length_c 10.0954
_cell_angle_alpha 16.66
_cell_angle_beta 16.66
_cell_angle_gamma 16.66
loop_
_symmetry_equiv_pos_as_xyz
'x,y,z'
loop_
_atom_site_label
_atom_site_fract_x
_atom_site_fract_y
_atom_site_fract_z
_atom_site_occupancy
Zn1 0.9891 0.9891 0.9891 1
Zn2 0.5109 0.5109 0.5109 1
Sr1 0.7500 0.7500 0.7500 1
Re1 0.2500 0.2500 0.2500 1
```

Values from the calculation:
DFT total energy = -3.52 eV/atom
Size of the total moment = 0.0 μB/cell
Energy relative to the elements = 0.652 eV/atom
Space group = No. 166
Crystal system = trigonal

# 2
Below is a geometry-optimized SrZn2Re structure, with properties calculated at the PBE level.

```
data_SrZn2Re
_chemical_formula_sum 'Sr1 Zn2 Re1'
_symmetry_space_group_name_H-M 'P 1'
_symmetry_Int_Tables_number 1
_cell_length_a 2.9054
_cell_length_b 3.6812
_cell_length_c 7.4958
_cell_angle_alpha 90.00
_cell_angle_beta 90.00
_cell_angle_gamma 90.00
loop_
_symmetry_equiv_pos_as_xyz
'x,y,z'
loop_
_atom_site_label
_atom_site_fract_x
_atom_site_fract_y
_atom_site_fract_z
_atom_site_occupancy
Zn1 0.0000 0.0000 0.0676 1
Zn2 0.5000 0.5000 0.2668 1
Sr1 0.5000 0.5000 0.7363 1
Re1 0.0000 0.0000 0.4293 1
```

Values from the calculation:
DFT total energy = -3.69 eV/atom
Size of the total moment = 0.0 μB/cell
Energy relative to the elements = 0.483 eV/atom
Space group = No. 25
Crystal system = orthorhombic

# 3
Below is a geometry-optimized SrZn2Re structure, with properties calculated at the PBE level.

```
data_SrZn2Re
_chemical_formula_sum 'Sr1 Zn2 Re1'
_symmetry_space_group_name_H-M 'P 1'
_symmetry_Int_Tables_number 1
_cell_length_a 4.7837
_cell_length_b 4.7837
_cell_length_c 6.3981
_cell_angle_alpha 81.36
_cell_angle_beta 81.36
_cell_angle_gamma 34.95
loop_
_symmetry_equiv_pos_as_xyz
'x,y,z'
loop_
_atom_site_label
_atom_site_fract_x
_atom_site_fract_y
_atom_site_fract_z
_atom_site_occupancy
Re1 0.4866 0.4866 0.5944 1
Zn1 0.0146 0.0146 0.9288 1
Zn2 0.7463 0.7463 0.7156 1
Sr1 0.2525 0.2525 0.2612 1
```

Values from the calculation:
DFT total energy = -3.62 eV/atom
Size of the total moment = 0.0 μB/cell
Energy relative to the elements = 0.546 eV/atom
Space group = No. 8
Crystal system = monoclinic

# 4
Below is a geometry-optimized SrZn2Re structure, with properties calculated at the PBE level.

```
data_SrZn2Re
_chemical_formula_sum 'Sr2 Zn4 Re2'
_symmetry_space_group_name_H-M 'P 1'
_symmetry_Int_Tables_number 1
_cell_length_a 4.7749
_cell_length_b 4.7749
_cell_length_c 9.5153
_cell_angle_alpha 75.47
_cell_angle_beta 75.47
_cell_angle_gamma 90.00
loop_
_symmetry_equiv_pos_as_xyz
'x,y,z'
loop_
_atom_site_label
_atom_site_fract_x
_atom_site_fract_y
_atom_site_fract_z
_atom_site_occupancy
Sr1 0.2500 0.7500 0.5000 1
Sr2 0.5000 0.5000 0.0000 1
Re1 0.7500 0.2500 0.5000 1
Re2 0.0000 0.0000 0.0000 1
Zn1 0.8750 0.0618 0.7500 1
Zn2 0.8118 0.1250 0.2500 1
Zn3 0.9382 0.6250 0.2500 1
Zn4 0.3750 0.1882 0.7500 1
```

Values from the calculation:
DFT total energy = -3.48 eV/atom
Size of the total moment = 1.8 μB/cell
Energy relative to the elements = 0.687 eV/atom
Space group = No. 122
Crystal system = tetragonal

# 5
Below is a geometry-optimized Sr3ZnRe structure, with properties calculated at the PBE level.

```
data_Sr3ZnRe
_chemical_formula_sum 'Sr3 Zn1 Re1'
_symmetry_space_group_name_H-M 'P 1'
_symmetry_Int_Tables_number 1
_cell_length_a 5.7917
_cell_length_b 5.7917
_cell_length_c 5.7917
_cell_angle_alpha 90.00
_cell_angle_beta 90.00
_cell_angle_gamma 90.00
loop_
_symmetry_equiv_pos_as_xyz
'x,y,z'
loop_
_atom_site_label
_atom_site_fract_x
_atom_site_fract_y
_atom_site_fract_z
_atom_site_occupancy
Sr1 0.0000 0.5000 0.0000 1
Sr2 0.0000 0.0000 0.5000 1
Sr3 0.5000 0.0000 0.0000 1
Re1 0.0000 0.0000 0.0000 1
Zn1 0.5000 0.5000 0.5000 1
```

Values from the calculation:
DFT total energy = -2.97 eV/atom
Size of the total moment = 0.0 μB/cell
Energy relative to the elements = 0.787 eV/atom
Space group = No. 221
Crystal system = cubic

# 6
Below is a geometry-optimized SrZn2Re structure, with properties calculated at the PBE level.

```
data_SrZn2Re
_chemical_formula_sum 'Sr1 Zn2 Re1'
_symmetry_space_group_name_H-M 'P 1'
_symmetry_Int_Tables_number 1
_cell_length_a 5.0898
_cell_length_b 7.0030
_cell_length_c 2.8749
_cell_angle_alpha 65.90
_cell_angle_beta 89.91
_cell_angle_gamma 124.93
loop_
_symmetry_equiv_pos_as_xyz
'x,y,z'
loop_
_atom_site_label
_atom_site_fract_x
_atom_site_fract_y
_atom_site_fract_z
_atom_site_occupancy
Sr1 0.5000 0.0000 0.5000 1
Zn1 0.0000 0.0000 0.0000 1
Zn2 0.0000 0.5000 0.5000 1
Re1 0.5000 0.5000 0.0000 1
```

Values from the calculation:
DFT total energy = -3.58 eV/atom
Size of the total moment = 0.0 μB/cell
Energy relative to the elements = 0.593 eV/atom
Space group = No. 12
Crystal system = monoclinic